The following is a PBE calculation of a geometry-optimized LaCdP2S8 structure, from Alexandria via LeMat-Bulk.

Geometry as extended XYZ:
```
12
Lattice="-3.149 1.431 5.407 -3.193 -2.354 -5.047 1.402 -8.441 3.049" Properties=species:S:1:pos:R:3 pbc="T T T"
P -2.203 -6.965 0.559
P -2.737 -2.399 2.850
S -0.432 -7.006 1.602
S -2.511 -5.108 -0.111
S -2.832 -1.121 4.459
S -2.429 -4.255 3.521
S -2.109 -8.242 -1.049
S -4.509 -2.358 1.808
S -1.178 -1.873 1.618
S -3.763 -7.491 1.791
La 0.701 -4.220 1.525
Cd 0.000 0.000 0.000
```

Uncorrected formation energy = -496 meV per atom
SG = P-3m1, No. 164
E_tot = -4.6357 eV per atom

The following is a PBE calculation of a geometry-optimized La2TiCdP structure, from Alexandria via LeMat-Bulk.

Geometry as extended XYZ:
```
5
Lattice="5.611 0.000 0.000 0.000 4.888 0.000 0.000 0.000 5.611" Properties=species:S:1:pos:R:3 pbc="T T T"
La 2.805 0.000 0.000
La 0.000 0.000 2.805
Ti 2.805 2.444 2.805
P 0.000 0.000 0.000
Cd 0.000 2.444 0.000
```

SG = P4/mmm, No. 123
Formation energy from the elements = 109 meV per atom
E_tot = -4.7060 eV per atom

The following is a PBE calculation of a geometry-optimized La2VCdP structure, from Alexandria via LeMat-Bulk.

Geometry as extended XYZ:
```
5
Lattice="-5.182 2.151 0.029 -1.499 -3.649 2.830 1.276 3.011 4.559" Properties=species:S:1:pos:R:3 pbc="T T T"
V -2.703 0.757 3.709
P 0.000 0.000 0.000
Cd -0.750 -1.825 1.415
La -2.591 1.076 0.014
La 0.638 1.506 2.280
```

SG = P4/mmm, No. 123
Formation energy from the elements = 326 meV per atom
E_tot = -4.7334 eV per atom

The following is a PBE calculation of a geometry-optimized LaCd2PW structure, from Alexandria via LeMat-Bulk.

Geometry as extended XYZ:
```
5
Lattice="-0.215 3.391 4.698 -4.610 -2.067 1.281 2.696 -4.103 3.085" Properties=species:S:1:pos:R:3 pbc="T T T"
W -1.064 -1.389 4.532
La 0.000 0.000 0.000
P -2.305 -1.033 0.640
Cd -0.107 1.696 2.349
Cd 1.348 -2.051 1.542
```

SG = P4/mmm, No. 123
Formation energy from the elements = 2081 meV per atom
E_tot = -2.9433 eV per atom